one) This record from Alexandria describes a geometry-optimized HfNbW structure. The functional is PBE-GGA.

abc: 3.312 3.312 10.173
angles: 90.00 90.00 90.00
Space group I4mm (No. 107)
Inequivalent atoms, fractional coordinates:
1 Hf 0.000 0.000 0.000 [2 per cell]
2 Nb 0.000 0.000 0.313 [2 per cell]
3 W 0.000 0.000 0.672 [2 per cell]

* magnetization: 0.000 Bohr magnetons per cell
* D(E_F): 8.51 states/eV per cell

=====

two) This record from Alexandria describes a geometry-optimized HfNbW structure. The functional is PBE-GGA.

abc: 5.678 8.852 9.537
angles: 90.00 90.00 90.00
Space group Fmmm (No. 69)
Inequivalent atoms, fractional coordinates:
1 Hf 0.000 0.175 0.000 [8 per cell]
2 Nb 0.000 0.000 0.333 [8 per cell]
3 W 0.250 0.250 0.250 [8 per cell]

* magnetization: 0.000 Bohr magnetons per cell
* D(E_F): 29.54 states/eV per cell

=====

Which one is most stable, and which one is least stable? one) is the most stable of them, while two) is the least stable.

=====

one) This record from Alexandria describes a geometry-optimized HfNbW3 structure. The functional is PBE-GGA.

abc: 4.745 4.745 4.745
angles: 90.00 90.00 90.00
Space group Pm-3m (No. 221)
Inequivalent atoms, fractional coordinates:
1 Hf 0.000 0.000 0.000 [1 per cell]
2 Nb 0.500 0.500 0.500 [1 per cell]
3 W 0.000 0.000 0.500 [3 per cell]

* magnetization: 0.000 Bohr magnetons per cell
* D(E_F): 10.01 states/eV per cell

=====

two) This record from Alexandria describes a geometry-optimized HfNbW3 structure. The functional is PBE-GGA.

abc: 4.763 4.763 4.763
angles: 90.00 90.00 90.00
Space group Pm-3m (No. 221)
Inequivalent atoms, fractional coordinates:
1 Hf 0.000 0.000 0.000 [1 per cell]
2 Nb 0.500 0.500 0.500 [1 per cell]
3 W 0.000 0.500 0.500 [3 per cell]

* magnetization: 0.000 Bohr magnetons per cell
* D(E_F): 11.24 states/eV per cell

=====

Which one is most stable, and which one is least stable? two) is the most stable of them, while one) is the least stable.